{"formula": "Ge2BiS3", "functional": "PBE-GGA", "state": "optimized geometry", "cell": [[-2.7657, 5.4395, 2.3044], [2.7657, -5.4395, 2.3044], [2.7657, 5.4395, -2.3044]], "species": ["Ge", "Ge", "Bi", "S", "S", "S"], "fractional_positions": [[0.1782, 0.0000, 0.1782], [0.8218, 0.0000, 0.8218], [0.5437, 0.0437, 0.5000], [0.2537, 0.5813, 0.6724], [0.6410, 0.6410, 0.0000], [0.9089, 0.5813, 0.3276]], "density_g_cm3": 5.394, "sg": "Imm2 (44)", "formation_energy_uncorrected_ev_per_atom": -0.119, "n_ef_per_ev_atom": 0.32, "dft_energy_ev_per_atom": -4.37}